Record 1
A plane-wave DFT calculation with SCAN was carried out for a crystal of MnFeCo2 relaxed with PBEsol.

Calculated values
ΔH_f (0 K)	0.112	eV per atom
SG	P4mm, No. 99
ΔE to the lowest computed polymorph	0.62	eV/f.u.

abc: 2.4258 2.4258 6.9437
angles: 90.00 90.00 90.00
Last column: nearest neighbours and their distance in Å.
Fractional coordinates of all 4 atoms:
Mn: 0.0000 0.0000 0.0000  4 Mn 2.43, 4 Co 2.43, 4 Fe 2.44
Fe: 0.5000 0.5000 0.7509  4 Fe 2.43, 4 Mn 2.44, 4 Co 2.46
Co: 0.0000 0.0000 0.4965  8 Co 2.43, 4 Fe 2.46
Co: 0.5000 0.5000 0.2479  8 Co 2.43, 4 Mn 2.43

---

Record 2
A plane-wave DFT calculation with SCAN was carried out for a crystal of MnFeCoTc2 relaxed with PBEsol.

Calculated values
ΔH_f (0 K)	1.333	eV per atom
SG	P4/mmm, No. 123

abc: 4.2811 4.2811 4.0835
angles: 90.00 90.00 90.00
Last column: nearest neighbours and their distance in Å.
Fractional coordinates of all 5 atoms:
Mn: 0.0000 0.0000 0.0000  2 Co 2.04, 4 Tc 2.14
Fe: 0.5000 0.5000 0.5000  8 Tc 2.96, 4 Co 3.03
Co: 0.0000 0.0000 0.5000  2 Mn 2.04
Tc: 0.0000 0.5000 0.0000  2 Mn 2.14
Tc: 0.5000 0.0000 0.0000  2 Mn 2.14

---

Record 3
A plane-wave DFT calculation with SCAN was carried out for a crystal of FeCo4Mo relaxed with PBEsol.

Calculated values
ΔH_f (0 K)	0.148	eV per atom
SG	F-43m, No. 216

abc: 4.5553 4.5553 4.5553
angles: 60.00 60.00 60.00
Last column: nearest neighbours and their distance in Å.
Fractional coordinates of all 6 atoms:
Fe: 0.0000 0.0000 0.0000  12 Co 2.67, 4 Mo 2.79
Co: 0.1237 0.6254 0.6254  6 Co 2.27-2.29
Co: 0.6254 0.1237 0.6254  6 Co 2.27-2.29
Co: 0.6254 0.6254 0.1237  6 Co 2.27-2.29
Co: 0.6254 0.6254 0.6254  6 Co 2.27-2.29
Mo: 0.2500 0.2500 0.2500  12 Co 2.67, 4 Fe 2.79

---

ΔH_f (0 K) of number 2 (MnFeCoTc2)?
1.333 eV per atom

---

ΔH_f (0 K) of number 2 (MnFeCoTc2)?
1.333 eV per atom

---

What did the first record say?
A plane-wave DFT calculation with SCAN was carried out for a crystal of MnFeCo2 relaxed with PBEsol.

Calculated values
ΔH_f (0 K)	0.112	eV per atom
SG	P4mm, No. 99
ΔE to the lowest computed polymorph	0.62	eV/f.u.

abc: 2.4258 2.4258 6.9437
angles: 90.00 90.00 90.00
Last column: nearest neighbours and their distance in Å.
Fractional coordinates of all 4 atoms:
Mn: 0.0000 0.0000 0.0000  4 Mn 2.43, 4 Co 2.43, 4 Fe 2.44
Fe: 0.5000 0.5000 0.7509  4 Fe 2.43, 4 Mn 2.44, 4 Co 2.46
Co: 0.0000 0.0000 0.4965  8 Co 2.43, 4 Fe 2.46
Co: 0.5000 0.5000 0.2479  8 Co 2.43, 4 Mn 2.43

---

ΔH_f (0 K) of number 3 (FeCo4Mo)?
0.148 eV per atom